# TlRe2NiI PBE-GGA relaxed
# * uncorrected energy: -4.3304 eV per atom
# * space group: P4/mmm
# * formation energy without anion corrections: 2.588 eV/atom
data_TlRe2NiI
_cell_length_a 5.229
_cell_length_b 5.229
_cell_length_c 4.792
_cell_angle_alpha 90.00
_cell_angle_beta 90.00
_cell_angle_gamma 90.00
_space_group_name_H-M_alt 'P 1'
_space_group_IT_number 1
_space_group_name_Hall 'P 1'
loop_
_atom_site_label
_atom_site_type_symbol
_atom_site_fract_x
_atom_site_fract_y
_atom_site_fract_z
_atom_site_occupancy
Tl1 Tl 0.000 0.000 0.000 1
Re1 Re 0.000 0.500 0.000 1
Re2 Re 0.500 0.000 0.000 1
Ni1 Ni 0.000 0.000 0.500 1
I1 I 0.500 0.500 0.500 1

# HgH2BrO2 PBE-GGA relaxed
# * uncorrected energy: -3.6524 eV per atom
# * space group: P-1
data_HgH2BrO2
_cell_length_a 5.494
_cell_length_b 5.525
_cell_length_c 7.547
_cell_angle_alpha 78.89
_cell_angle_beta 89.32
_cell_angle_gamma 87.41
_space_group_name_H-M_alt 'P 1'
_space_group_IT_number 1
_space_group_name_Hall 'P 1'
loop_
_atom_site_label
_atom_site_type_symbol
_atom_site_fract_x
_atom_site_fract_y
_atom_site_fract_z
_atom_site_occupancy
Hg1 Hg 0.229 0.123 0.380 1
Hg2 Hg 0.771 0.877 0.620 1
H1 H 0.107 0.936 0.119 1
H2 H 0.244 0.079 0.712 1
H3 H 0.756 0.921 0.288 1
H4 H 0.893 0.064 0.881 1
Br1 Br 0.470 0.418 0.866 1
Br2 Br 0.530 0.582 0.134 1
O1 O 0.014 0.057 0.176 1
O2 O 0.373 0.158 0.626 1
O3 O 0.627 0.842 0.374 1
O4 O 0.986 0.943 0.824 1

# LaDyInCu PBE-GGA relaxed
# * uncorrected energy: -4.3631 eV per atom
# * space group: F-43m
# * DFT formation energy: -272 meV per atom
data_LaDyInCu
_cell_length_a 5.308
_cell_length_b 5.308
_cell_length_c 5.308
_cell_angle_alpha 60.00
_cell_angle_beta 60.00
_cell_angle_gamma 60.00
_space_group_name_H-M_alt 'P 1'
_space_group_IT_number 1
_space_group_name_Hall 'P 1'
loop_
_atom_site_label
_atom_site_type_symbol
_atom_site_fract_x
_atom_site_fract_y
_atom_site_fract_z
_atom_site_occupancy
La1 La 0.000 0.000 0.000 1
Dy1 Dy 0.500 0.500 0.500 1
In1 In 0.250 0.250 0.250 1
Cu1 Cu 0.750 0.750 0.750 1